# GGA-PBEsol Y2ScPd2, optimized geometry
# E_tot	-7.148	eV per atom
# excess energy over the best structure of this formula in the dataset	0.000	eV/f.u.
# total moment	0.0	μB/cell
# formation energy	-0.715	eV/atom
data_Y2ScPd2
_symmetry_space_group_name_H-M 'P 4/m b m'
_symmetry_Int_Tables_number 127
_symmetry_space_group_name_Hall '-P 4 2ab'
_cell_length_a 7.415
_cell_length_b 7.415
_cell_length_c 3.981
_cell_angle_alpha 90.00
_cell_angle_beta 90.00
_cell_angle_gamma 90.00
loop_
_atom_site_label
_atom_site_type_symbol
_atom_site_fract_x
_atom_site_fract_y
_atom_site_fract_z
Y1 Y 0.169 0.331 0.000
Sc1 Sc 0.000 0.000 0.500
Pd1 Pd 0.134 0.634 0.500